A plane-wave DFT calculation with PBEsol was carried out for an optimized crystal structure of RbMn2InSi.

As for the spin magnetization: 7.7 Bohr magnetons per cell. The calculation puts the formation energy from raw total energies at 901 meV per atom.

It has space group P4/mmm (No. 123), with a = 4.743 Å, b = 4.743 Å, c = 6.087 Å, α = 90.00°, β = 90.00° and γ = 90.00°. The asymmetric unit holds Rb at (0.000, 0.000, 0.000), Mn at (0.000, 0.500, 0.500), In at (0.500, 0.500, 0.000) and Si at (0.000, 0.000, 0.500).

---

A plane-wave DFT calculation with PBEsol was carried out for an optimized crystal structure of Mn2InRe.

The calculation puts the calculated formation energy at 0.3556 eV/atom. As for the spin magnetization: 7.5 Bohr magnetons per cell.

It has space group Imm2 (No. 44), with a = 2.918 Å, b = 4.380 Å, c = 8.824 Å, α = 90.00°, β = 90.00° and γ = 90.00°. The asymmetric unit holds Mn at (0.000, 0.000, 0.000), Mn at (0.000, 0.500, 0.270), In at (0.000, 0.000, 0.506) and Re at (0.000, 0.500, 0.731).

---

A plane-wave DFT calculation with PBEsol was carried out for an optimized crystal structure of MnInRe2.

The calculation puts the calculated formation energy at 0.4891 eV/atom. As for the spin magnetization: 1.7 Bohr magnetons per cell.

It has space group F-43m (No. 216), with a = 6.170 Å, b = 6.170 Å, c = 6.170 Å, α = 90.00°, β = 90.00° and γ = 90.00°. The asymmetric unit holds Mn at (0.000, 0.000, 0.000), In at (0.250, 0.250, 0.250), Re at (0.000, 0.000, 0.500) and Re at (0.250, 0.250, 0.750).

---

A plane-wave DFT calculation with PBEsol was carried out for an optimized crystal structure of MnInRe2.

The calculation puts the calculated formation energy at 0.4500 eV/atom. As for the spin magnetization: 3.1 Bohr magnetons per cell.

It has space group I4/mmm (No. 139), with a = 3.802 Å, b = 3.802 Å, c = 8.235 Å, α = 90.00°, β = 90.00° and γ = 90.00°. The asymmetric unit holds Mn at (0.000, 0.000, 0.000), In at (0.000, 0.000, 0.500) and Re at (0.000, 0.500, 0.250).

---

A plane-wave DFT calculation with PBEsol was carried out for an optimized crystal structure of Mn2InRe.

The calculation puts the calculated formation energy at 0.4758 eV/atom. As for the spin magnetization: 9.3 Bohr magnetons per cell.

It has space group C2/m (No. 12), with a = 8.529 Å, b = 2.836 Å, c = 4.926 Å, α = 90.00°, β = 98.75° and γ = 90.00°. The asymmetric unit holds Mn at (0.246, 0.000, 0.219), In at (0.000, 0.000, 0.500) and Re at (0.000, 0.500, 0.000).

---

A plane-wave DFT calculation with PBEsol was carried out for an optimized crystal structure of MnInRe.

The relative energy among the computed polymorphs is 0.0 kJ/mol of formula units. The calculation puts the calculated formation energy at 0.9805 eV/atom. As for the spin magnetization: 4.1 Bohr magnetons per cell.

It has space group F-43m (No. 216), with a = 5.995 Å, b = 5.995 Å, c = 5.995 Å, α = 90.00°, β = 90.00° and γ = 90.00°. The asymmetric unit holds Mn at (0.000, 0.000, 0.000), In at (0.000, 0.000, 0.500) and Re at (0.250, 0.250, 0.750).

---

A plane-wave DFT calculation with PBEsol was carried out for an optimized crystal structure of MnInRh2.

The calculation puts the calculated formation energy at -0.2354 eV/atom. As for the spin magnetization: 4.2 Bohr magnetons per cell.

It has space group P4/mmm (No. 123), with a = 4.330 Å, b = 4.330 Å, c = 3.155 Å, α = 90.00°, β = 90.00° and γ = 90.00°. The asymmetric unit holds Mn at (0.000, 0.000, 0.000), In at (0.500, 0.500, 0.000) and Rh at (0.000, 0.500, 0.500).

---

A plane-wave DFT calculation with PBEsol was carried out for an optimized crystal structure of MnInRh.

The calculation puts the calculated formation energy at 0.4894 eV/atom. As for the spin magnetization: 16.3 Bohr magnetons per cell.

It has space group F-43m (No. 216), with a = 6.065 Å, b = 6.065 Å, c = 6.065 Å, α = 90.00°, β = 90.00° and γ = 90.00°. The asymmetric unit holds Mn at (0.000, 0.000, 0.000), In at (0.250, 0.250, 0.750) and Rh at (0.000, 0.000, 0.500).

---

A plane-wave DFT calculation with PBEsol was carried out for an optimized crystal structure of MnInRh2.

The calculation puts the calculated formation energy at -0.0312 eV/atom. As for the spin magnetization: 3.9 Bohr magnetons per cell.

It has space group P2/m (No. 10), with a = 4.542 Å, b = 2.876 Å, c = 4.840 Å, α = 90.00°, β = 109.79° and γ = 90.00°. The asymmetric unit holds Mn at (0.000, 0.000, 0.000), In at (0.000, 0.500, 0.500), Rh at (0.500, 0.000, 0.500) and Rh at (0.500, 0.500, 0.000).

---

A plane-wave DFT calculation with PBEsol was carried out for an optimized crystal structure of Mn3InRh.

The calculation puts the calculated formation energy at 1.0108 eV/atom. As for the spin magnetization: 13.0 Bohr magnetons per cell.

It has space group Pm-3m (No. 221), with a = 4.709 Å, b = 4.709 Å, c = 4.709 Å, α = 90.00°, β = 90.00° and γ = 90.00°. The asymmetric unit holds Mn at (0.000, 0.000, 0.500), In at (0.500, 0.500, 0.500) and Rh at (0.000, 0.000, 0.000).

---

A plane-wave DFT calculation with PBEsol was carried out for an optimized crystal structure of MnInRh.

The calculation puts the calculated formation energy at 0.1745 eV/atom. As for the spin magnetization: 3.9 Bohr magnetons per cell.

It has space group P3m1 (No. 156), with a = 2.9593 Å, b = 2.9593 Å, c = 6.3473 Å, α = 90.00°, β = 90.00° and γ = 120.00°. The asymmetric unit holds Mn at (0.0000, 0.0000, 0.0000), In at (0.6667, 0.3333, 0.3583) and Rh at (0.3333, 0.6667, 0.7018).

---

A plane-wave DFT calculation with PBEsol was carried out for an optimized crystal structure of MnZnInRh2.

The calculation puts the calculated formation energy at 1.3322 eV/atom. As for the spin magnetization: 4.8 Bohr magnetons per cell.

It has space group P4/mmm (No. 123), with a = 4.798 Å, b = 4.798 Å, c = 4.627 Å, α = 90.00°, β = 90.00° and γ = 90.00°. The asymmetric unit holds Mn at (0.000, 0.000, 0.000), Zn at (0.500, 0.500, 0.000), In at (0.500, 0.500, 0.500) and Rh at (0.000, 0.500, 0.500).

---

A plane-wave DFT calculation with PBEsol was carried out for an optimized crystal structure of MnInRu2.

The calculation puts the calculated formation energy at 0.1903 eV/atom. As for the spin magnetization: 2.8 Bohr magnetons per cell.

It has space group P4/mmm (No. 123), with a = 4.307 Å, b = 4.307 Å, c = 3.137 Å, α = 90.00°, β = 90.00° and γ = 90.00°. The asymmetric unit holds Mn at (0.000, 0.000, 0.000), In at (0.500, 0.500, 0.000) and Ru at (0.000, 0.500, 0.500).

---

A plane-wave DFT calculation with PBEsol was carried out for an optimized crystal structure of MnInRu2.

The calculation puts the calculated formation energy at 0.0881 eV/atom. As for the spin magnetization: 2.3 Bohr magnetons per cell.

It has space group P4/mmm (No. 123), with a = 3.017 Å, b = 3.017 Å, c = 6.326 Å, α = 90.00°, β = 90.00° and γ = 90.00°. The asymmetric unit holds Mn at (0.000, 0.000, 0.000), In at (0.000, 0.000, 0.500) and Ru at (0.500, 0.500, 0.219).

---

A plane-wave DFT calculation with PBEsol was carried out for an optimized crystal structure of MnInRu2.

The calculation puts the calculated formation energy at 0.2333 eV/atom. As for the spin magnetization: 4.9 Bohr magnetons per cell.

It has space group I-4m2 (No. 119), with a = 3.798 Å, b = 3.798 Å, c = 8.034 Å, α = 90.00°, β = 90.00° and γ = 90.00°. The asymmetric unit holds Mn at (0.000, 0.000, 0.000), In at (0.000, 0.500, 0.750), Ru at (0.000, 0.000, 0.500) and Ru at (0.000, 0.500, 0.250).

---

A plane-wave DFT calculation with PBEsol was carried out for an optimized crystal structure of Mn2InRu.

The calculation puts the calculated formation energy at 0.2307 eV/atom. As for the spin magnetization: 2.2 Bohr magnetons per cell.

It has space group P4mm (No. 99), with a = 2.752 Å, b = 2.752 Å, c = 7.304 Å, α = 90.00°, β = 90.00° and γ = 90.00°. The asymmetric unit holds Mn at (0.000, 0.000, 0.000), Mn at (0.500, 0.500, 0.220), In at (0.500, 0.500, 0.717) and Ru at (0.000, 0.000, 0.427).

---

A plane-wave DFT calculation with PBEsol was carried out for an optimized crystal structure of MnInRu.

The calculation puts the calculated formation energy at 0.2900 eV/atom. As for the spin magnetization: 2.5 Bohr magnetons per cell.

It has space group P-6m2 (No. 187), with a = 4.2484 Å, b = 4.2484 Å, c = 2.9148 Å, α = 90.00°, β = 90.00° and γ = 120.00°. The asymmetric unit holds Mn at (0.0000, 0.0000, 0.0000), In at (0.3333, 0.6667, 0.5000) and Ru at (0.6667, 0.3333, 0.0000).

---

A plane-wave DFT calculation with PBEsol was carried out for an optimized crystal structure of MnInS2.

As for the spin magnetization: 7.4 Bohr magnetons per cell. The calculation puts the formation energy from raw total energies at -493 meV per atom.

It has space group R-3m (No. 166, hexagonal axes), with a = 3.2522 Å, b = 3.2522 Å, c = 24.7800 Å, α = 90.00°, β = 90.00° and γ = 120.00°. The asymmetric unit holds Mn at (0.0000, 0.0000, 0.0000), In at (0.0000, 0.0000, 0.5000) and S at (0.0000, 0.0000, 0.3861).

---

A plane-wave DFT calculation with PBEsol was carried out for an optimized crystal structure of MnIn2Se2S2.

As for the spin magnetization: 14.5 Bohr magnetons per cell. The calculation puts the formation energy from raw total energies at -429 meV per atom.

It has space group R3m (No. 160, hexagonal axes), with a = 4.0501 Å, b = 4.0501 Å, c = 35.5722 Å, α = 90.00°, β = 90.00° and γ = 120.00°. The asymmetric unit holds Mn at (0.0000, 0.0000, 0.0000), In at (0.0000, 0.0000, 0.2212), In at (0.0000, 0.0000, 0.4379), Se at (0.0000, 0.0000, 0.5106), Se at (0.0000, 0.0000, 0.9265), S at (0.0000, 0.0000, 0.0786) and S at (0.0000, 0.0000, 0.3414).

---

A plane-wave DFT calculation with PBEsol was carried out for an optimized crystal structure of YMnIn2S.

As for the spin magnetization: 1.6 Bohr magnetons per cell. The calculation puts the formation energy from raw total energies at -55 meV per atom.

It has space group P4/mmm (No. 123), with a = 5.148 Å, b = 5.148 Å, c = 4.135 Å, α = 90.00°, β = 90.00° and γ = 90.00°. The asymmetric unit holds Y at (0.000, 0.000, 0.000), Mn at (0.500, 0.500, 0.500), In at (0.000, 0.500, 0.500) and S at (0.500, 0.500, 0.000).